1.
BaInPt2 | GGA-PBEsol | relaxed

Output
Total energy ... -21.531 eV per cell
Fermi-level density of states ... 1.6 states/eV per cell

Cell lengths 4.620, 4.620, 6.076 Å; angles 67.65, 67.65, 60.00 degrees
Atoms (fractional coordinates):
1 In 0.500 0.500 0.500
2 Pt 0.805 0.805 0.585
3 Pt 0.195 0.195 0.415
4 Ba 0.000 0.000 0.000

=====

2.
BaInPt | GGA-PBEsol | relaxed

Output
Total energy ... -13.843 eV per cell
Fermi-level density of states ... 2.3 states/eV per cell

Cell lengths 4.593, 4.646, 4.646 Å; angles 120.00, 90.00, 90.00 degrees
Atoms (fractional coordinates):
1 In 0.500 0.333 0.667
2 Ba 0.000 0.000 0.000
3 Pt 0.500 0.667 0.333

=====

Q: Which value of Fermi-level density of states does entry 1 give?
A: 1.6 states/eV per cell

=====

Q: Among the records above, which one has the highest total energy?
A: BaInPt

=====

Q: Which formula does entry 1 have?
A: BaInPt2

=====

Please write out number 1 again, unchanged.
BaInPt2 | GGA-PBEsol | relaxed

Output
Total energy ... -21.531 eV per cell
Fermi-level density of states ... 1.6 states/eV per cell

Cell lengths 4.620, 4.620, 6.076 Å; angles 67.65, 67.65, 60.00 degrees
Atoms (fractional coordinates):
1 In 0.500 0.500 0.500
2 Pt 0.805 0.805 0.585
3 Pt 0.195 0.195 0.415
4 Ba 0.000 0.000 0.000